[1]
Computed, not measured: crystalline NaPrCoTe3 at its relaxed geometry at the GGA-PBE level of DFT.

a = 4.2753 Å, b = 14.7112 Å, c = 11.6809 Å
α = 90.00°, β = 90.00°, γ = 90.00°
Space group Cmcm (No. 63)
Asymmetric unit:
Na 0.0000 0.2458 0.2500 x4
Pr 0.0000 0.0000 0.0000 x4
Co 0.0000 0.4756 0.7500 x4
Te 0.0000 0.0815 0.7500 x4
Te 0.0000 0.3581 0.5849 x8

Values from the calculation:
Energy above the most stable polymorph in this dataset = 5 meV/atom
Final energy = -4.5184 eV per atom
Calculated volume = 30.61 A^3/atom
Magnetic moment = 10.39 μB/cell

[2]
Computed, not measured: crystalline PrAgSO at its relaxed geometry at the GGA-PBE level of DFT.

a = 4.1073 Å, b = 5.9156 Å, c = 6.4877 Å
α = 90.00°, β = 90.00°, γ = 90.00°
Space group Pmc2_1 (No. 26)
Asymmetric unit:
Pr 0.0000 0.2363 0.0000 x2
Ag 0.5000 0.3174 0.6003 x2
S 0.5000 0.0794 0.2832 x2
O 0.0000 0.4506 0.7041 x2

Values from the calculation:
Final energy = -5.7271 eV per atom
Calculated volume = 19.70 A^3/atom
Magnetic moment = 0.00 μB/cell

[3]
Computed, not measured: crystalline Tm2GePt at its relaxed geometry at the GGA-PBE level of DFT.

a = 5.7237 Å, b = 4.2791 Å, c = 7.6896 Å
α = 90.00°, β = 110.52°, γ = 90.00°
Space group P2_1/m (No. 11)
Asymmetric unit:
Tm 0.2126 0.2500 0.4405 x2
Tm 0.2264 0.2500 0.9144 x2
Ge 0.3211 0.7500 0.2057 x2
Pt 0.3448 0.7500 0.7097 x2

Values from the calculation:
Final energy = -6.0097 eV per atom
Calculated volume = 22.05 A^3/atom
Magnetic moment = 0.00 μB/cell